Record 1
SmNi: optimized geometry, PBE.

Unit cell a=3.8100 b=4.2755 c=5.5426 alpha=90.00 beta=109.98 gamma=90.00
Closest atoms and distances in Å follow each position.
Fractional coordinates of all 4 atoms:
Ni (0.5715, 0.2500, 0.1431)  2 Ni 2.61, 2 Sm 2.90
Ni (0.4285, 0.7500, 0.8569)  2 Ni 2.61, 2 Sm 2.90
Sm (0.8619, 0.2500, 0.7233)  7 Ni 2.90-3.02
Sm (0.1381, 0.7500, 0.2767)  7 Ni 2.90-3.02

## Properties
Calculated total energy   -5.617 eV/atom
Total moment   0.0 μB/f.u.
Calculated volume   85 Å³ per cell



Record 2
Sm3Ni4: optimized geometry, PBE.

Unit cell a=4.1412 b=5.3396 c=13.1716 alpha=90.00 beta=90.00 gamma=112.82
Closest atoms and distances in Å follow each position.
Fractional coordinates of all 14 atoms:
Sm (0.7211, 0.4422, 0.1023)  7 Ni 2.84-3.06
Sm (0.2813, 0.5626, 0.8984)  7 Ni 2.84-3.07
Sm (0.7211, 0.4421, 0.3984)  7 Ni 2.84-3.06
Sm (0.2813, 0.5625, 0.6023)  7 Ni 2.84-3.07
Sm (0.0054, 0.0108, 0.2504)  7 Ni 2.89-3.08
Sm (0.9969, 0.9939, 0.7504)  7 Ni 2.89-3.09
Ni (0.3006, 0.6012, 0.2503)  2 Ni 2.54
Ni (0.7018, 0.4036, 0.7503)  2 Ni 2.54
Ni (0.4337, 0.8674, 0.0852)  4 Ni 2.45-2.60
Ni (0.0009, 0.0017, 0.0002)  4 Ni 2.45
Ni (0.4337, 0.8674, 0.4155)  4 Ni 2.44-2.60
Ni (0.5688, 0.1376, 0.9155)  4 Ni 2.45-2.60
Ni (0.0009, 0.0018, 0.5004)  4 Ni 2.44-2.45
Ni (0.5688, 0.1375, 0.5853)  4 Ni 2.45-2.60

## Properties
Calculated total energy   -5.676 eV/atom
Total moment   0.0 μB/f.u.
Calculated volume   268 Å³ per cell